The following is a PBE-GGA calculation of an optimized crystal structure of Nd4SN2, from Alexandria via LeMat-Bulk.

Geometry as POSCAR:
```
Nd4SN2
1.0
3.5706 0.0000 -0.9765
-0.5836 6.0162 -2.1339
0.1412 -0.6943 7.5327
Nd N S
4 2 1
Cartesian
0.0888 4.6722 0.3246
3.0395 0.6497 4.0978
0.9688 3.6439 3.5424
2.1595 1.6781 0.8800
2.2917 4.1533 1.3636
0.8365 1.1687 3.0588
0.0000 0.0000 0.0000
```

Results
Density of states at the Fermi level: 5.42 states/eV/f.u.
Energy relative to the elements, uncorrected: -1.310 eV per atom
SG: C2/m (12)
Total magnetization: 0.3 μB/f.u.
E: -7.00 eV per atom


The following is a PBE-GGA calculation of an optimized crystal structure of Nd5SN4, from Alexandria via LeMat-Bulk.

Geometry as POSCAR:
```
Nd5SN4
1.0
3.6180 0.0000 0.8264
1.5315 6.0699 1.6279
-0.0221 -0.0543 8.4294
Nd N S
5 4 1
Cartesian
0.7547 3.0078 5.0286
3.2103 4.0090 2.6110
1.9171 2.0067 8.2727
3.0086 0.5824 3.4939
2.1187 5.4333 7.3898
1.3159 2.4271 2.5719
2.4664 1.1858 5.8676
3.8115 3.5885 8.3118
2.6609 4.8299 5.0162
0.0000 0.0000 0.0000
```

Results
Density of states at the Fermi level: 1.70 states/eV/f.u.
Energy relative to the elements, uncorrected: -1.488 eV per atom
SG: C2/m (12)
Total magnetization: 0.0 μB/f.u.
E: -7.61 eV per atom


The following is a PBE-GGA calculation of an optimized crystal structure of Nd3SN2, from Alexandria via LeMat-Bulk.

Geometry as POSCAR:
```
Nd3SN2
1.0
-1.5361 2.7000 -1.6700
-5.8354 -2.4552 1.3981
-0.1457 5.3299 8.7513
Nd S N
6 2 4
Cartesian
-1.4747 1.5652 3.8871
-2.4585 4.3884 5.6323
-4.4200 1.3459 6.2417
-5.3192 1.0768 2.9095
-4.7511 4.6164 8.1098
-1.7120 1.4019 0.1170
-0.1685 4.5855 7.5687
-2.9802 -0.5191 1.9021
-0.8914 4.0232 3.6004
-3.0954 2.9252 7.5766
-0.0949 1.1237 1.9042
-3.8075 2.7373 4.2038
```

Results
Density of states at the Fermi level: 2.74 states/eV/f.u.
Energy relative to the elements, uncorrected: -1.420 eV per atom
SG: Pmc2_1 (26)
Total magnetization: 0.0 μB/f.u.
E: -7.27 eV per atom


The following is a PBE-GGA calculation of an optimized crystal structure of Nd3SbSN, from Alexandria via LeMat-Bulk.

Geometry as POSCAR:
```
Nd3SbSN
1.0
4.2096 0.0000 0.0000
0.0000 8.6572 0.6633
0.0000 -2.6417 9.0292
S Nd Sb N
2 6 2 2
Cartesian
3.1572 0.7425 7.8948
1.0524 5.2730 1.7977
1.0524 5.9425 4.9209
1.0524 2.7458 8.0227
1.0524 -1.3123 7.6969
3.1572 0.0729 4.7716
3.1572 3.2697 1.6698
3.1572 7.3277 1.9955
1.0524 1.0086 2.0829
3.1572 5.0069 7.6095
1.0524 -0.7720 5.5015
3.1572 6.7875 4.1909
```

Results
Density of states at the Fermi level: 2.45 states/eV/f.u.
Energy relative to the elements, uncorrected: -1.417 eV per atom
SG: P2_1/m (11)
Total magnetization: 0.0 μB/f.u.
E: -6.56 eV per atom


> Among the records above, which one has the lowest density of states at the Fermi level?

Nd5SN4